Record 1
The following is a DFT calculation (PBE) of RbAgPd after structural relaxation.

Computed properties:
Energy above the lowest structure with this stoichiometry = 0.439 eV per atom
Crystal system = cubic

Cell: 7.2773 7.2773 7.2773 Å, 90.00 90.00 90.00°
Fractional positions:
Rb: 0.0000 0.0000 0.0000
Rb: 0.0000 0.5000 0.5000
Rb: 0.5000 0.0000 0.5000
Rb: 0.5000 0.5000 0.0000
Ag: 0.2500 0.2500 0.7500
Ag: 0.2500 0.7500 0.2500
Ag: 0.7500 0.2500 0.2500
Ag: 0.7500 0.7500 0.7500
Pd: 0.2500 0.2500 0.2500
Pd: 0.2500 0.7500 0.7500
Pd: 0.7500 0.2500 0.7500
Pd: 0.7500 0.7500 0.2500

=====

Record 2
The following is a DFT calculation (PBE) of RbAgPdSeS2 after structural relaxation.

Computed properties:
Energy = -45.181 eV for the cell shown
Crystal system = orthorhombic

Cell: 7.9732 7.9732 10.4613 Å, 90.00 90.00 152.93°
Fractional positions:
Rb: 0.2388 0.7612 0.7500
Rb: 0.7612 0.2388 0.2500
Ag: 0.0727 0.9273 0.2500
Ag: 0.9273 0.0727 0.7500
Pd: 0.5000 0.5000 0.0000
Pd: 0.5000 0.5000 0.5000
Se: 0.4472 0.5528 0.2500
Se: 0.5528 0.4472 0.7500
S: 0.1015 0.8985 0.0206
S: 0.1015 0.8985 0.4794
S: 0.8985 0.1015 0.5206
S: 0.8985 0.1015 0.9794

=====

Record 3
The following is a DFT calculation (PBE) of RbAgPdSe2S after structural relaxation.

Computed properties:
Energy = -43.947 eV for the cell shown
Crystal system = orthorhombic

Cell: 7.7347 7.7347 10.4971 Å, 90.00 90.00 150.64°
Fractional positions:
Rb: 0.2429 0.7571 0.7500
Rb: 0.7571 0.2429 0.2500
Ag: 0.0532 0.9468 0.2500
Ag: 0.9468 0.0532 0.7500
Pd: 0.5000 0.5000 0.0000
Pd: 0.5000 0.5000 0.5000
Se: 0.1108 0.8892 0.0182
Se: 0.1108 0.8892 0.4818
Se: 0.8892 0.1108 0.5182
Se: 0.8892 0.1108 0.9818
S: 0.4487 0.5513 0.2500
S: 0.5513 0.4487 0.7500

=====

Record 4
The following is a DFT calculation (PBE) of RbAgTe2PdS after structural relaxation.

Computed properties:
Energy = -42.194 eV for the cell shown
Crystal system = orthorhombic

Cell: 7.0995 7.0995 11.6034 Å, 90.00 90.00 144.60°
Fractional positions:
Rb: 0.2391 0.7609 0.7500
Rb: 0.7609 0.2391 0.2500
Ag: 0.0495 0.9505 0.2500
Ag: 0.9505 0.0495 0.7500
Te: 0.1208 0.8792 0.0252
Te: 0.1208 0.8792 0.4748
Te: 0.8792 0.1208 0.5252
Te: 0.8792 0.1208 0.9748
Pd: 0.5000 0.5000 0.0000
Pd: 0.5000 0.5000 0.5000
S: 0.4606 0.5394 0.2500
S: 0.5394 0.4606 0.7500

=====

Record 5
The following is a DFT calculation (PBE) of RbAgTePdS2 after structural relaxation.

Computed properties:
Energy = -44.334 eV for the cell shown
Crystal system = orthorhombic

Cell: 8.4229 8.4229 10.8043 Å, 90.00 90.00 154.78°
Fractional positions:
Rb: 0.2375 0.7625 0.7500
Rb: 0.7625 0.2375 0.2500
Ag: 0.4379 0.5621 0.2500
Ag: 0.5621 0.4379 0.7500
Te: 0.0718 0.9282 0.2500
Te: 0.9282 0.0718 0.7500
Pd: 0.0000 0.0000 0.0000
Pd: 0.0000 0.0000 0.5000
S: 0.4038 0.5962 0.0280
S: 0.4038 0.5962 0.4720
S: 0.5962 0.4038 0.5280
S: 0.5962 0.4038 0.9720

=====

Record 6
The following is a DFT calculation (PBE) of RbAgTe2PdSe after structural relaxation.

Computed properties:
Energy = -41.478 eV for the cell shown
Crystal system = orthorhombic

Cell: 8.1646 8.1646 10.8658 Å, 90.00 90.00 151.02°
Fractional positions:
Rb: 0.2443 0.7557 0.7500
Rb: 0.7557 0.2443 0.2500
Ag: 0.4529 0.5471 0.2500
Ag: 0.5471 0.4529 0.7500
Te: 0.3867 0.6133 0.0152
Te: 0.3867 0.6133 0.4848
Te: 0.6133 0.3867 0.5152
Te: 0.6133 0.3867 0.9848
Pd: 0.0000 0.0000 0.0000
Pd: 0.0000 0.0000 0.5000
Se: 0.0604 0.9396 0.2500
Se: 0.9396 0.0604 0.7500

=====

Record 7
The following is a DFT calculation (PBE) of RbAgTe3Pd after structural relaxation.

Computed properties:
Energy = -40.886 eV for the cell shown
Crystal system = orthorhombic

Cell: 8.3241 8.3241 11.0179 Å, 90.00 90.00 151.83°
Fractional positions:
Rb: 0.2374 0.7626 0.7500
Rb: 0.7626 0.2374 0.2500
Ag: 0.4489 0.5511 0.2500
Ag: 0.5511 0.4489 0.7500
Te: 0.0682 0.9318 0.2500
Te: 0.3866 0.6134 0.0157
Te: 0.3866 0.6134 0.4843
Te: 0.6134 0.3866 0.5157
Te: 0.6134 0.3866 0.9843
Te: 0.9318 0.0682 0.7500
Pd: 0.0000 0.0000 0.0000
Pd: 0.0000 0.0000 0.5000

=====

Record 8
The following is a DFT calculation (PBE) of RbAg3Te4Pd after structural relaxation.

Computed properties:
Energy = -28.256 eV for the cell shown
Crystal system = cubic

Cell: 6.8264 6.8264 6.8264 Å, 90.00 90.00 90.00°
Fractional positions:
Rb: 0.0000 0.0000 0.0000
Ag: 0.0000 0.5000 0.5000
Ag: 0.5000 0.0000 0.5000
Ag: 0.5000 0.5000 0.0000
Te: 0.2803 0.2803 0.2803
Te: 0.2803 0.7197 0.7197
Te: 0.7197 0.2803 0.7197
Te: 0.7197 0.7197 0.2803
Pd: 0.5000 0.5000 0.5000

=====

Record 9
The following is a DFT calculation (PBE) of AgPd3S5 after structural relaxation.

Computed properties:
Energy = -38.444 eV for the cell shown
Crystal system = hexagonal

Cell: 6.3982 6.3982 5.3162 Å, 90.00 90.00 120.00°
Fractional positions:
Ag: 0.0000 0.0000 0.0000
Pd: 0.0000 0.5000 0.5000
Pd: 0.5000 0.0000 0.5000
Pd: 0.5000 0.5000 0.5000
S: 0.0000 0.0000 0.5000
S: 0.3333 0.6667 0.2307
S: 0.3333 0.6667 0.7693
S: 0.6667 0.3333 0.2307
S: 0.6667 0.3333 0.7693

=====

Record 10
The following is a DFT calculation (PBE) of AgPdS2 after structural relaxation.

Computed properties:
Energy = -49.846 eV for the cell shown
Crystal system = trigonal

Cell: 3.6623 3.6623 20.0138 Å, 90.00 90.00 120.00°
Fractional positions:
Ag: 0.0000 0.0000 0.0000
Ag: 0.3333 0.6667 0.6667
Ag: 0.6667 0.3333 0.3333
Pd: 0.0000 0.0000 0.8480
Pd: 0.3333 0.6667 0.5147
Pd: 0.6667 0.3333 0.1814
S: 0.0000 0.0000 0.1210
S: 0.0000 0.0000 0.5818
S: 0.3333 0.6667 0.2485
S: 0.3333 0.6667 0.7877
S: 0.6667 0.3333 0.4544
S: 0.6667 0.3333 0.9152

=====

Record 11
The following is a DFT calculation (PBE) of AgSbPdS3 after structural relaxation.

Computed properties:
Energy = -104.277 eV for the cell shown
Crystal system = orthorhombic

Cell: 5.1689 7.9906 13.3966 Å, 90.00 90.00 90.00°
Fractional positions:
Ag: 0.0378 0.1044 0.4383
Ag: 0.4622 0.8956 0.9383
Ag: 0.5378 0.3956 0.5617
Ag: 0.9622 0.6044 0.0617
Sb: 0.0019 0.1334 0.1296
Sb: 0.4981 0.8666 0.6296
Sb: 0.5019 0.3666 0.8704
Sb: 0.9981 0.6334 0.3704
Pd: 0.0171 0.6307 0.7478
Pd: 0.4829 0.3693 0.2478
Pd: 0.5171 0.8693 0.2522
Pd: 0.9829 0.1307 0.7522
S: 0.1749 0.1458 0.9134
S: 0.2216 0.3755 0.7115
S: 0.2259 0.6197 0.9044
S: 0.2741 0.3803 0.4044
S: 0.2784 0.6245 0.2115
S: 0.3251 0.8542 0.4134
S: 0.6749 0.3542 0.0866
S: 0.7216 0.1245 0.2885
S: 0.7259 0.8803 0.0956
S: 0.7741 0.1197 0.5956
S: 0.7784 0.8755 0.7885
S: 0.8251 0.6458 0.5866

=====

Record 12
The following is a DFT calculation (PBE) of TlAgPdSeS2 after structural relaxation.

Computed properties:
Energy = -45.964 eV for the cell shown
Crystal system = orthorhombic

Cell: 7.4171 7.4171 10.5918 Å, 90.00 90.00 152.08°
Fractional positions:
Tl: 0.1987 0.8013 0.7500
Tl: 0.8013 0.1987 0.2500
Ag: 0.1304 0.8696 0.2500
Ag: 0.8696 0.1304 0.7500
Pd: 0.5000 0.5000 0.0000
Pd: 0.5000 0.5000 0.5000
Se: 0.4730 0.5270 0.2500
Se: 0.5270 0.4730 0.7500
S: 0.1109 0.8891 0.0170
S: 0.1109 0.8891 0.4830
S: 0.8891 0.1109 0.5170
S: 0.8891 0.1109 0.9830

=====

Record 13
The following is a DFT calculation (PBE) of TlAgTe2PdS after structural relaxation.

Computed properties:
Energy = -42.990 eV for the cell shown
Crystal system = orthorhombic

Cell: 6.6382 6.6382 11.3369 Å, 90.00 90.00 143.84°
Fractional positions:
Tl: 0.2203 0.7797 0.7500
Tl: 0.7797 0.2203 0.2500
Ag: 0.0914 0.9086 0.2500
Ag: 0.9086 0.0914 0.7500
Te: 0.1365 0.8635 0.0144
Te: 0.1365 0.8635 0.4856
Te: 0.8635 0.1365 0.5144
Te: 0.8635 0.1365 0.9856
Pd: 0.5000 0.5000 0.0000
Pd: 0.5000 0.5000 0.5000
S: 0.4651 0.5349 0.2500
S: 0.5349 0.4651 0.7500

=====

Record 14
The following is a DFT calculation (PBE) of TlAgTePdS2 after structural relaxation.

Computed properties:
Energy = -45.231 eV for the cell shown
Crystal system = orthorhombic

Cell: 7.9084 7.9084 10.8536 Å, 90.00 90.00 154.17°
Fractional positions:
Tl: 0.2133 0.7867 0.7500
Tl: 0.7867 0.2133 0.2500
Ag: 0.1255 0.8745 0.2500
Ag: 0.8745 0.1255 0.7500
Te: 0.4612 0.5388 0.2500
Te: 0.5388 0.4612 0.7500
Pd: 0.5000 0.5000 0.0000
Pd: 0.5000 0.5000 0.5000
S: 0.1058 0.8942 0.0200
S: 0.1058 0.8942 0.4800
S: 0.8942 0.1058 0.5200
S: 0.8942 0.1058 0.9800

=====

Record 15
The following is a DFT calculation (PBE) of TlAgPdS3 after structural relaxation.

Computed properties:
Energy = -46.907 eV for the cell shown
Crystal system = orthorhombic

Cell: 6.8088 6.8088 10.5080 Å, 90.00 90.00 148.57°
Fractional positions:
Tl: 0.1922 0.8078 0.7500
Tl: 0.8078 0.1922 0.2500
Ag: 0.1268 0.8732 0.2500
Ag: 0.8732 0.1268 0.7500
Pd: 0.5000 0.5000 0.0000
Pd: 0.5000 0.5000 0.5000
S: 0.1185 0.8815 0.0169
S: 0.1185 0.8815 0.4831
S: 0.4724 0.5276 0.2500
S: 0.5276 0.4724 0.7500
S: 0.8815 0.1185 0.5169
S: 0.8815 0.1185 0.9831

=====

Record 16
The following is a DFT calculation (PBE) of TlAg3PdS4 after structural relaxation.

Computed properties:
Energy = -32.656 eV for the cell shown
Crystal system = cubic

Cell: 6.0324 6.0324 6.0324 Å, 90.00 90.00 90.00°
Fractional positions:
Tl: 0.0000 0.0000 0.0000
Ag: 0.0000 0.5000 0.5000
Ag: 0.5000 0.0000 0.5000
Ag: 0.5000 0.5000 0.0000
Pd: 0.5000 0.5000 0.5000
S: 0.2658 0.2658 0.2658
S: 0.2658 0.7342 0.7342
S: 0.7342 0.2658 0.7342
S: 0.7342 0.7342 0.2658

=====

Record 17
The following is a DFT calculation (PBE) of AgSbPd after structural relaxation.

Computed properties:
Energy = -49.496 eV for the cell shown
Crystal system = cubic

Cell: 6.3569 6.3569 6.3569 Å, 90.00 90.00 90.00°
Fractional positions:
Ag: 0.0000 0.0000 0.0000
Ag: 0.0000 0.5000 0.5000
Ag: 0.5000 0.0000 0.5000
Ag: 0.5000 0.5000 0.0000
Sb: 0.2500 0.2500 0.2500
Sb: 0.2500 0.7500 0.7500
Sb: 0.7500 0.2500 0.7500
Sb: 0.7500 0.7500 0.2500
Pd: 0.0000 0.0000 0.5000
Pd: 0.0000 0.5000 0.0000
Pd: 0.5000 0.0000 0.0000
Pd: 0.5000 0.5000 0.5000

=====

Record 18
The following is a DFT calculation (PBE) of Ag2SbPd after structural relaxation.

Computed properties:
Energy = -61.610 eV for the cell shown
Crystal system = cubic

Cell: 6.6276 6.6276 6.6276 Å, 90.00 90.00 90.00°
Fractional positions:
Ag: 0.0000 0.0000 0.0000
Ag: 0.0000 0.5000 0.5000
Ag: 0.2500 0.2500 0.2500
Ag: 0.2500 0.7500 0.7500
Ag: 0.5000 0.0000 0.5000
Ag: 0.5000 0.5000 0.0000
Ag: 0.7500 0.2500 0.7500
Ag: 0.7500 0.7500 0.2500
Sb: 0.0000 0.0000 0.5000
Sb: 0.0000 0.5000 0.0000
Sb: 0.5000 0.0000 0.0000
Sb: 0.5000 0.5000 0.5000
Pd: 0.2500 0.2500 0.7500
Pd: 0.2500 0.7500 0.2500
Pd: 0.7500 0.2500 0.2500
Pd: 0.7500 0.7500 0.7500

=====

Record 19
The following is a DFT calculation (PBE) of AgSbPdSe3 after structural relaxation.

Computed properties:
Energy = -96.222 eV for the cell shown
Crystal system = orthorhombic

Cell: 5.1936 8.3611 13.8788 Å, 90.00 90.00 90.00°
Fractional positions:
Ag: 0.0413 0.0987 0.4493
Ag: 0.4587 0.9013 0.9493
Ag: 0.5413 0.4013 0.5507
Ag: 0.9587 0.5987 0.0507
Sb: 0.0445 0.1372 0.1393
Sb: 0.4555 0.8628 0.6393
Sb: 0.5445 0.3628 0.8607
Sb: 0.9555 0.6372 0.3607
Pd: 0.0306 0.6416 0.7442
Pd: 0.4694 0.3584 0.2442
Pd: 0.5306 0.8584 0.2558
Pd: 0.9694 0.1416 0.7558
Se: 0.1886 0.1562 0.9161
Se: 0.2263 0.3810 0.7055
Se: 0.2468 0.3774 0.4005
Se: 0.2532 0.6226 0.9005
Se: 0.2737 0.6190 0.2055
Se: 0.3114 0.8438 0.4161
Se: 0.6886 0.3438 0.0839
Se: 0.7263 0.1190 0.2945
Se: 0.7468 0.1226 0.5995
Se: 0.7532 0.8774 0.0995
Se: 0.7737 0.8810 0.7945
Se: 0.8114 0.6562 0.5839

=====

Record 20
The following is a DFT calculation (PBE) of ScAg2Pd after structural relaxation.

Computed properties:
Energy of formation from the pure elements = -1.6 eV/f.u.
Crystal system = cubic

Cell: 6.5437 6.5437 6.5437 Å, 90.00 90.00 90.00°
Fractional positions:
Sc: 0.0000 0.0000 0.0000
Sc: 0.0000 0.5000 0.5000
Sc: 0.5000 0.0000 0.5000
Sc: 0.5000 0.5000 0.0000
Ag: 0.0000 0.0000 0.5000
Ag: 0.0000 0.5000 0.0000
Ag: 0.2500 0.2500 0.7500
Ag: 0.2500 0.7500 0.2500
Ag: 0.5000 0.0000 0.0000
Ag: 0.5000 0.5000 0.5000
Ag: 0.7500 0.2500 0.2500
Ag: 0.7500 0.7500 0.7500
Pd: 0.2500 0.2500 0.2500
Pd: 0.2500 0.7500 0.7500
Pd: 0.7500 0.2500 0.7500
Pd: 0.7500 0.7500 0.2500

=====

Record 21
The following is a DFT calculation (PBE) of Sc2AgPd after structural relaxation.

Computed properties:
Energy of formation from the pure elements = -1.5 eV/f.u.
Crystal system = cubic

Cell: 6.5862 6.5862 6.5862 Å, 90.00 90.00 90.00°
Fractional positions:
Sc: 0.0000 0.0000 0.0000
Sc: 0.0000 0.5000 0.5000
Sc: 0.2500 0.2500 0.2500
Sc: 0.2500 0.7500 0.7500
Sc: 0.5000 0.0000 0.5000
Sc: 0.5000 0.5000 0.0000
Sc: 0.7500 0.2500 0.7500
Sc: 0.7500 0.7500 0.2500
Ag: 0.2500 0.2500 0.7500
Ag: 0.2500 0.7500 0.2500
Ag: 0.7500 0.2500 0.2500
Ag: 0.7500 0.7500 0.7500
Pd: 0.0000 0.0000 0.5000
Pd: 0.0000 0.5000 0.0000
Pd: 0.5000 0.0000 0.0000
Pd: 0.5000 0.5000 0.5000

=====

Record 22
The following is a DFT calculation (PBE) of AgPd3Se5 after structural relaxation.

Computed properties:
Energy = -35.255 eV for the cell shown
Crystal system = hexagonal

Cell: 5.7229 5.7229 6.7660 Å, 90.00 90.00 120.00°
Fractional positions:
Ag: 0.0000 0.0000 0.0000
Pd: 0.0000 0.5000 0.5000
Pd: 0.5000 0.0000 0.5000
Pd: 0.5000 0.5000 0.5000
Se: 0.0000 0.0000 0.5000
Se: 0.3333 0.6667 0.2167
Se: 0.3333 0.6667 0.7833
Se: 0.6667 0.3333 0.2167
Se: 0.6667 0.3333 0.7833